Below is a geometry-optimized KP4 structure, with properties calculated at the PBE level.

## Properties
raw total energy = -10.75 eV/cell
ΔH_f (0 K) = 2.40 eV/atom
density of states at the Fermi level = 2.07 states/eV/cell
ΔE to the lowest computed polymorph = 241.00 kJ per mole of atoms

```
KP4
1.0
6.885 0.000 0.000
0.000 6.885 0.000
0.000 0.000 6.885
K P
1 4
Cartesian
0.000 0.000 0.000
0.000 0.000 3.443
0.000 3.443 0.000
3.443 0.000 0.000
3.443 3.443 3.443
```